1.
! La2ReW, relaxed, DFT PBE; values from VASP
! Energy of formation from the pure elements ... 0.199 eV per atom
! SG ... P4mm (99)
&SYSTEM
  ibrav = 0, nat = 4, ntyp = 3
/
ATOMIC_SPECIES
La 138.91 La.upf
Re 186.21 Re.upf
W 183.84 W.upf
ATOMIC_POSITIONS crystal
La 0.0000 0.0000 0.9372
La 0.5000 0.5000 0.3168
Re 0.0000 0.0000 0.5525
W 0.5000 0.5000 0.6934
CELL_PARAMETERS angstrom
3.2447 0.0000 0.0000
0.0000 3.2447 0.0000
0.0000 0.0000 9.3315

---

2.
! GdYTcAu, relaxed, DFT PBE; values from VASP
! Energy of formation from the pure elements ... -0.322 eV per atom
! SG ... F-43m (216)
&SYSTEM
  ibrav = 0, nat = 4, ntyp = 4
/
ATOMIC_SPECIES
Y 88.91 Y.upf
Gd 157.25 Gd.upf
Au 196.97 Au.upf
Tc 98.00 Tc.upf
ATOMIC_POSITIONS crystal
Y 0.7500 0.7500 0.7500
Gd 0.2500 0.2500 0.2500
Au 0.0000 0.0000 0.0000
Tc 0.5000 0.5000 0.5000
CELL_PARAMETERS angstrom
4.9836 0.0000 0.0000
2.4918 4.3159 0.0000
2.4918 1.4386 4.0691

---

3.
! YMoBr3, relaxed, DFT PBE; values from VASP
! SG ... Pm-3m (221)
! Formation energy from raw total energies ... 0.523 eV per formula unit
&SYSTEM
  ibrav = 0, nat = 5, ntyp = 3
/
ATOMIC_SPECIES
Y 88.91 Y.upf
Mo 95.94 Mo.upf
Br 79.90 Br.upf
ATOMIC_POSITIONS crystal
Y 0.5000 0.5000 0.5000
Mo 0.0000 0.0000 0.0000
Br 0.0000 0.5000 0.0000
Br 0.0000 0.0000 0.5000
Br 0.5000 0.0000 0.0000
CELL_PARAMETERS angstrom
-3.7759 -3.6299 0.0842
3.3390 -3.5192 -1.9766
1.4262 -1.3711 4.8504

---

4.
! K2RbInF, relaxed, DFT PBE; values from VASP
! SG ... P4/mmm (123)
! Formation energy from raw total energies ... -5.018 eV per formula unit
&SYSTEM
  ibrav = 0, nat = 5, ntyp = 4
/
ATOMIC_SPECIES
K 39.10 K.upf
F 19.00 F.upf
Rb 85.47 Rb.upf
In 114.82 In.upf
ATOMIC_POSITIONS crystal
K 0.0000 0.5000 0.0000
K 0.5000 0.0000 0.0000
F 0.0000 0.0000 0.0000
Rb 0.0000 0.0000 0.5000
In 0.5000 0.5000 0.5000
CELL_PARAMETERS angstrom
-0.8582 0.2901 5.5068
-4.0310 -3.8360 -0.4261
3.8920 -4.1817 0.8269

---

5.
! Ca3Ag2Pb3, relaxed, DFT PBE; values from VASP
! Energy of formation from the pure elements ... -0.394 eV per atom
! SG ... Cmcm (63)
&SYSTEM
  ibrav = 0, nat = 16, ntyp = 3
/
ATOMIC_SPECIES
Ca 40.08 Ca.upf
Ag 107.87 Ag.upf
Pb 207.20 Pb.upf
ATOMIC_POSITIONS crystal
Ca 0.9181 0.8363 0.3894
Ca 0.0819 0.1637 0.8894
Ca 0.9181 0.8363 0.1106
Ca 0.0819 0.1637 0.6106
Ca 0.6531 0.3062 0.2500
Ca 0.3469 0.6938 0.7500
Ag 0.7886 0.5772 0.8879
Ag 0.2114 0.4228 0.3879
Ag 0.7886 0.5772 0.6121
Ag 0.2114 0.4228 0.1121
Pb 0.6240 0.2481 0.4626
Pb 0.3760 0.7519 0.9626
Pb 0.6240 0.2481 0.0374
Pb 0.3760 0.7519 0.5374
Pb 0.3676 0.7352 0.2500
Pb 0.6324 0.2648 0.7500
CELL_PARAMETERS angstrom
-3.8884 -2.7500 -0.3311
3.4309 -1.3162 5.0580
-8.5033 10.9847 8.6263

---

6.
! PuPaPd, relaxed, DFT PBE; values from VASP
! Energy of formation from the pure elements ... -0.234 eV per atom
! SG ... P-1 (2)
&SYSTEM
  ibrav = 0, nat = 6, ntyp = 3
/
ATOMIC_SPECIES
Pu 244.00 Pu.upf
Pa 231.04 Pa.upf
Pd 106.42 Pd.upf
ATOMIC_POSITIONS crystal
Pu 0.6691 0.6230 0.5270
Pu 0.1415 0.0355 0.3313
Pa 0.3087 0.6472 0.9451
Pa 0.5018 0.0114 0.9131
Pd 0.8061 0.2131 0.6995
Pd 0.0045 0.4455 0.1588
CELL_PARAMETERS angstrom
3.4640 0.3194 0.0613
0.6036 6.3578 -0.2378
-1.9197 -3.5725 6.4113

---

7.
! NiP2Se, relaxed, DFT PBE; values from VASP
! SG ... F-43m (216)
! Formation energy from raw total energies ... 2.254 eV per formula unit
&SYSTEM
  ibrav = 0, nat = 4, ntyp = 3
/
ATOMIC_SPECIES
Ni 58.69 Ni.upf
P 30.97 P.upf
Se 78.96 Se.upf
ATOMIC_POSITIONS crystal
Ni 0.5000 0.5000 0.5000
P 0.0000 0.0000 0.0000
P 0.2500 0.2500 0.2500
Se 0.7500 0.7500 0.7500
CELL_PARAMETERS angstrom
4.3541 0.0000 0.0000
2.1770 3.7707 0.0000
2.1770 1.2569 3.5551

---

Magnetic moment for the records above, in order: 0.0000; 1.7560; 0.3447; 0.0000; 0.0000; 1.8086; 0.0000 μB/atom